Material: KGa2PdPb
Method: DFT, PBE
State: optimized geometry

## Properties
Formation energy from the elements in eV per atom: -0.078
Total magnetic moment in μB per cell: 0.00

a b c (Å): 4.9568 4.9568 5.6511
angles (deg): 90.00 90.00 90.00
Last column: nearest neighbours and their distance in Å.
Atoms (fractional coordinates):
K  0.0000  0.0000  0.0000  4 Pb 3.50, 8 Ga 3.76
Ga  0.0000  0.5000  0.5000  2 Pd 2.48
Ga  0.5000  0.0000  0.5000  2 Pd 2.48
Pd  0.5000  0.5000  0.5000  4 Ga 2.48
Pb  0.5000  0.5000  0.0000  2 Pd 2.83